Material: Ce7Pu2Os2
Method: DFT, PBE
State: relaxed

Excess energy over the best structure of this formula in the dataset: 0 meV per atom

CIF file:
```
data_Ce7Pu2Os2
_space_group_name_H-M_alt 'I m m 2'
_space_group_IT_number 44
_cell_length_a 3.8004
_cell_length_b 15.6148
_cell_length_c 9.3888
_cell_angle_alpha 90.00
_cell_angle_beta 90.00
_cell_angle_gamma 90.00
loop_
_space_group_symop_operation_xyz
'x,y,z'
'-x,-y,z'
'-x,y,z'
'x,-y,z'
'x+1/2,y+1/2,z+1/2'
'-x+1/2,-y+1/2,z+1/2'
'-x+1/2,y+1/2,z+1/2'
'x+1/2,-y+1/2,z+1/2'
loop_
_atom_site_label
_atom_site_type_symbol
_atom_site_fract_x
_atom_site_fract_y
_atom_site_fract_z
Ce1 Ce 0.0000 0.0000 0.0000
Ce2 Ce 0.0000 0.1355 0.6117
Ce3 Ce 0.0000 0.3192 0.3876
Ce4 Ce 0.0000 0.3625 0.7699
Pu1 Pu 0.0000 0.0000 0.4276
Pu2 Pu 0.0000 0.5000 0.2972
Os1 Os 0.0000 0.2180 0.0939
```